TmSc2Ga: relaxed, PBE.

energy of formation from the pure elements	-0.281	eV/atom
offset from the most stable computed form	26	meV/atom

Structure (CIF):
```
data_TmSc2Ga
_chemical_formula_sum 'Tm1 Sc2 Ga1'
_cell_length_a 4.4635
_cell_length_b 4.4635
_cell_length_c 4.5039
_cell_angle_alpha 90.00
_cell_angle_beta 90.00
_cell_angle_gamma 90.00
_symmetry_space_group_name_H-M 'P 1'
_symmetry_Int_Tables_number 1
_symmetry_space_group_name_Hall 'P 1'
loop_
_atom_site_label
_atom_site_type_symbol
_atom_site_fract_x
_atom_site_fract_y
_atom_site_fract_z
_atom_site_occupancy
Tm1 Tm 0.0000 0.0000 0.0000 1
Sc1 Sc 0.0000 0.5000 0.5000 1
Sc2 Sc 0.5000 0.0000 0.5000 1
Ga1 Ga 0.5000 0.5000 0.0000 1
```

=====

TmSc7Ga4: relaxed, PBE.

energy of formation from the pure elements	-0.215	eV/atom

Structure (CIF):
```
data_TmSc7Ga4
_chemical_formula_sum 'Tm1 Sc7 Ga4'
_cell_length_a 6.8836
_cell_length_b 6.8836
_cell_length_c 9.7652
_cell_angle_alpha 121.74
_cell_angle_beta 121.74
_cell_angle_gamma 43.47
_symmetry_space_group_name_H-M 'P 1'
_symmetry_Int_Tables_number 1
_symmetry_space_group_name_Hall 'P 1'
loop_
_atom_site_label
_atom_site_type_symbol
_atom_site_fract_x
_atom_site_fract_y
_atom_site_fract_z
_atom_site_occupancy
Tm1 Tm 0.0000 0.0000 0.0000 1
Sc1 Sc 0.0627 0.0627 0.3849 1
Sc2 Sc 0.2159 0.2159 0.8765 1
Sc3 Sc 0.3070 0.3070 0.3699 1
Sc4 Sc 0.5000 0.5000 0.0000 1
Sc5 Sc 0.6930 0.6930 0.6301 1
Sc6 Sc 0.7841 0.7841 0.1235 1
Sc7 Sc 0.9373 0.9373 0.6151 1
Ga1 Ga 0.3162 0.3162 0.6707 1
Ga2 Ga 0.4372 0.4372 0.2294 1
Ga3 Ga 0.5628 0.5628 0.7706 1
Ga4 Ga 0.6838 0.6838 0.3293 1
```

=====

Tm2ScGa9: relaxed, PBE.

energy of formation from the pure elements	-0.512	eV/atom

Structure (CIF):
```
data_Tm2ScGa9
_chemical_formula_sum 'Tm2 Sc1 Ga9'
_cell_length_a 4.1960
_cell_length_b 4.1960
_cell_length_c 12.5836
_cell_angle_alpha 90.00
_cell_angle_beta 90.00
_cell_angle_gamma 90.00
_symmetry_space_group_name_H-M 'P 1'
_symmetry_Int_Tables_number 1
_symmetry_space_group_name_Hall 'P 1'
loop_
_atom_site_label
_atom_site_type_symbol
_atom_site_fract_x
_atom_site_fract_y
_atom_site_fract_z
_atom_site_occupancy
Tm1 Tm 0.0000 0.0000 0.1699 1
Tm2 Tm 0.0000 0.0000 0.8301 1
Sc1 Sc 0.0000 0.0000 0.5000 1
Ga1 Ga 0.0000 0.5000 0.0000 1
Ga2 Ga 0.0000 0.5000 0.3392 1
Ga3 Ga 0.0000 0.5000 0.6608 1
Ga4 Ga 0.5000 0.0000 0.0000 1
Ga5 Ga 0.5000 0.0000 0.3392 1
Ga6 Ga 0.5000 0.0000 0.6608 1
Ga7 Ga 0.5000 0.5000 0.1675 1
Ga8 Ga 0.5000 0.5000 0.5000 1
Ga9 Ga 0.5000 0.5000 0.8325 1
```

=====

Tm2ScGa2: relaxed, PBE.

energy of formation from the pure elements	-0.517	eV/atom
offset from the most stable computed form	30	meV/atom

Structure (CIF):
```
data_Tm2ScGa2
_chemical_formula_sum 'Tm2 Sc1 Ga2'
_cell_length_a 5.7615
_cell_length_b 5.7615
_cell_length_c 5.7615
_cell_angle_alpha 136.04
_cell_angle_beta 115.28
_cell_angle_gamma 81.55
_symmetry_space_group_name_H-M 'P 1'
_symmetry_Int_Tables_number 1
_symmetry_space_group_name_Hall 'P 1'
loop_
_atom_site_label
_atom_site_type_symbol
_atom_site_fract_x
_atom_site_fract_y
_atom_site_fract_z
_atom_site_occupancy
Tm1 Tm 0.2011 0.2011 0.0000 1
Tm2 Tm 0.7989 0.7989 0.0000 1
Sc1 Sc 0.5000 0.0000 0.5000 1
Ga1 Ga 0.2109 0.5000 0.7109 1
Ga2 Ga 0.7891 0.5000 0.2891 1
```